Entry from Alexandria: an optimized crystal structure of LiCd3Ag3 (PBE).

Summary:
The value obtained for the magnetization is 0.000 μB/atom. As for the formation energy: 0.402 eV/atom. For the volume, the calculation gives 454 Å³/cell. Its polymorph energy (0 for the lowest one) is 447.0 meV/atom. The calculation puts the density at 4.9 g cm⁻³.

Lattice parameters (Å, degrees): 7.684 7.684 7.684 90.00 90.00 90.00
Atoms (fractional coordinates):
Li 0.000 0.000 0.000
Li 0.500 0.500 0.500
Cd 0.000 0.250 0.500
Cd 0.000 0.750 0.500
Cd 0.250 0.500 0.000
Cd 0.500 0.000 0.250
Cd 0.500 0.000 0.750
Cd 0.750 0.500 0.000
Ag 0.000 0.500 0.250
Ag 0.000 0.500 0.750
Ag 0.250 0.000 0.500
Ag 0.500 0.250 0.000
Ag 0.500 0.750 0.000
Ag 0.750 0.000 0.500